(1)
Compound: Be3Ni
Source: the Alexandria database
Functional: SCAN
Structure: single point on PBEsol structure

The structure in POSCAR format:
```
Be3Ni
1.0
-1.374 -1.563 2.431
2.492 0.724 1.874
-3.523 5.879 -0.318
Ni Be
2 6
Direct
0.624 0.624 0.248 Ni
0.376 0.376 0.752 Ni
0.000 0.500 0.000 Be
0.500 0.000 0.000 Be
0.750 0.250 0.500 Be
0.250 0.750 0.500 Be
0.874 0.874 0.748 Be
0.126 0.126 0.252 Be
```

Output
Offset from the most stable computed form   28 meV per atom
Density of states at the Fermi level   0.3598 states/eV/atom
Mass density   4.3 g/cm³
Calculated formation energy   -315 meV per atom
M_tot   0.0 μB/f.u.

---

(2)
Compound: BeNi3
Source: the Alexandria database
Functional: SCAN
Structure: single point on PBEsol structure

The structure in POSCAR format:
```
BeNi3
1.0
-4.035 -0.170 2.272
0.815 -4.421 1.118
3.295 2.127 6.011
Be Ni
4 12
Direct
0.992 0.507 0.250 Be
0.508 0.007 0.750 Be
0.492 0.993 0.250 Be
0.008 0.493 0.750 Be
0.997 0.007 0.250 Ni
0.503 0.507 0.750 Ni
0.497 0.493 0.250 Ni
0.003 0.993 0.750 Ni
0.200 0.700 0.002 Ni
0.300 0.200 0.998 Ni
0.700 0.800 0.498 Ni
0.800 0.300 0.502 Ni
0.800 0.300 0.998 Ni
0.700 0.800 0.002 Ni
0.300 0.200 0.502 Ni
0.200 0.700 0.498 Ni
```

Output
Density of states at the Fermi level   0.5282 states/eV/atom
Mass density   8.0 g/cm³
Calculated formation energy   -201 meV per atom
M_tot   1.4 μB/f.u.

---

(3)
Compound: Be3Ni
Source: the Alexandria database
Functional: SCAN
Structure: single point on PBEsol structure

The structure in POSCAR format:
```
Be3Ni
1.0
3.604 0.000 0.000
1.802 3.121 0.000
1.802 1.040 2.942
Ni Be
1 3
Direct
0.000 0.000 0.000 Ni
0.250 0.250 0.250 Be
0.500 0.500 0.500 Be
0.750 0.750 0.750 Be
```

Output
Offset from the most stable computed form   29 meV per atom
Density of states at the Fermi level   0.2356 states/eV/atom
Mass density   4.3 g/cm³
Calculated formation energy   -314 meV per atom
M_tot   0.0 μB/f.u.

---

(4)
Compound: BeNi3
Source: the Alexandria database
Functional: SCAN
Structure: single point on PBEsol structure

The structure in POSCAR format:
```
BeNi3
1.0
-2.243 -0.535 0.827
1.280 -1.351 2.597
-0.172 4.345 2.345
Ni Be
3 1
Direct
0.500 0.500 0.763 Ni
0.000 0.000 0.500 Ni
0.500 0.500 0.237 Ni
0.000 0.000 0.000 Be
```

Output
Density of states at the Fermi level   0.8275 states/eV/atom
Mass density   8.0 g/cm³
Calculated formation energy   -173 meV per atom
M_tot   1.5 μB/f.u.

---

Repeat the fourth record exactly.
Compound: BeNi3
Source: the Alexandria database
Functional: SCAN
Structure: single point on PBEsol structure

The structure in POSCAR format:
```
BeNi3
1.0
-2.243 -0.535 0.827
1.280 -1.351 2.597
-0.172 4.345 2.345
Ni Be
3 1
Direct
0.500 0.500 0.763 Ni
0.000 0.000 0.500 Ni
0.500 0.500 0.237 Ni
0.000 0.000 0.000 Be
```

Output
Density of states at the Fermi level   0.8275 states/eV/atom
Mass density   8.0 g/cm³
Calculated formation energy   -173 meV per atom
M_tot   1.5 μB/f.u.